Record 1
Material: Dy6Cd2In
Method: DFT, PBE-GGA
State: optimized geometry

The space group is Fmmm (No. 69) and the conventional cell measures 4.994, 13.601 and 14.988 Å, with angles of 90.00, 90.00 and 90.00 degrees. The asymmetric unit holds Dy at (0.000, 0.157, 0.000), Dy at (0.000, 0.157, 0.333), Cd at (0.000, 0.000, 0.166) and In at (0.000, 0.000, 0.500).

Its energy relative to the lowest polymorph listed for this composition is 0.0 meV/atom. For the formation energy, the calculation gives -0.228 eV/atom.

Record 2
Material: As8Rh
Method: DFT, PBE-GGA
State: optimized geometry

The space group is I4/mmm (No. 139) and the conventional cell measures 10.577, 10.577 and 3.505 Å, with angles of 90.00, 90.00 and 90.00 degrees. The asymmetric unit holds As at (0.000, 0.359, 0.000), As at (0.125, 0.125, 0.500) and Rh at (0.000, 0.000, 0.000).

For the formation energy, the calculation gives 0.197 eV/atom.

Record 3
Material: Tb15SmDy4
Method: DFT, PBE-GGA
State: optimized geometry

The space group is P4/mmm (No. 123) and the conventional cell measures 5.034, 5.034 and 25.179 Å, with angles of 90.00, 90.00 and 90.00 degrees. The asymmetric unit holds Tb at (0.000, 0.000, 0.000), Tb at (0.000, 0.000, 0.201), Tb at (0.000, 0.000, 0.400), Tb at (0.000, 0.500, 0.101), Tb at (0.000, 0.500, 0.300), Tb at (0.000, 0.500, 0.500), Sm at (0.500, 0.500, 0.000), Dy at (0.500, 0.500, 0.201) and Dy at (0.500, 0.500, 0.400).

For the formation energy, the calculation gives 0.016 eV/atom.

Record 4
Material: PrSm3Ga4
Method: DFT, PBE-GGA
State: optimized geometry

The space group is Immm (No. 71) and the conventional cell measures 3.648, 6.933 and 17.049 Å, with angles of 90.00, 90.00 and 90.00 degrees. The asymmetric unit holds Pr at (0.000, 0.000, 0.000), Sm at (0.000, 0.000, 0.500), Sm at (0.000, 0.500, 0.298) and Ga at (0.000, 0.312, 0.131).

Its energy relative to the lowest polymorph listed for this composition is 128.9 meV/atom. For the formation energy, the calculation gives -0.435 eV/atom.

Record 5
Material: U2MnTl3S6
Method: DFT, PBE-GGA
State: optimized geometry

The space group is C2/m (No. 12) and the conventional cell measures 6.801, 11.769 and 7.944 Å, with angles of 90.00, 106.61 and 90.00 degrees. The asymmetric unit holds U at (0.000, 0.166, 0.000), Mn at (0.000, 0.500, 0.000), Tl at (0.000, 0.000, 0.500), Tl at (0.000, 0.332, 0.500), S at (0.225, 0.339, 0.191) and S at (0.242, 0.000, 0.193).

The calculation puts the formation energy (no corrections) at -10.53 eV per formula unit.

Record 6
Material: AlCuP2
Method: DFT, PBE-GGA
State: optimized geometry

The space group is P4mm (No. 99) and the conventional cell measures 3.074, 3.074 and 6.233 Å, with angles of 90.00, 90.00 and 90.00 degrees. The asymmetric unit holds Al at (0.000, 0.000, 0.000), Cu at (0.500, 0.500, 0.228), P at (0.000, 0.000, 0.489) and P at (0.500, 0.500, 0.655).

For the formation energy, the calculation gives 0.261 eV/atom.

Record 7
Material: Pm2Al5Pt
Method: DFT, PBE-GGA
State: optimized geometry

The space group is P4/mmm (No. 123) and the conventional cell measures 6.228, 6.228 and 4.665 Å, with angles of 90.00, 90.00 and 90.00 degrees. The asymmetric unit holds Pm at (0.000, 0.500, 0.000), Al at (0.000, 0.000, 0.000), Al at (0.288, 0.288, 0.500) and Pt at (0.000, 0.000, 0.500).

For the formation energy, the calculation gives -0.429 eV/atom.

Record 8
Material: HfSiIN2
Method: DFT, PBE-GGA
State: optimized geometry

The space group is P4/mmm (No. 123) and the conventional cell measures 3.874, 3.874 and 5.098 Å, with angles of 90.00, 90.00 and 90.00 degrees. The asymmetric unit holds Hf at (0.000, 0.000, 0.000), Si at (0.500, 0.500, 0.500), I at (0.500, 0.500, 0.000) and N at (0.000, 0.500, 0.500).

Its energy relative to the lowest polymorph listed for this composition is 382.2 meV/atom. The calculation puts the formation energy (no corrections) at 5.13 eV per formula unit.

Raw total energy / eV/f.u.: -34.2 -42.8 -92.3 -34.5 -74.1 -17.6 -37.7 -28.4